[1]
A plane-wave DFT calculation with PBE was carried out for a geometry-optimized Ba2CaZn2 structure.

Output
Total energy ... -1.7875 eV per atom
M_tot ... 0.00 Bohr magnetons per cell
Crystal system ... tetragonal
Density of states at the Fermi level ... 14.00 states/eV/cell

```
data_Ba2CaZn2
_space_group_name_H-M_alt 'P 4/m b m'
_space_group_IT_number 127
_space_group_name_Hall '-P 4 2ab'
_cell_length_a 9.147
_cell_length_b 9.147
_cell_length_c 4.461
_cell_angle_alpha 90.00
_cell_angle_beta 90.00
_cell_angle_gamma 90.00
loop_
_atom_site_label
_atom_site_type_symbol
_atom_site_fract_x
_atom_site_fract_y
_atom_site_fract_z
Ba1 Ba 0.156 0.344 0.000
Ca1 Ca 0.000 0.000 0.500
Zn1 Zn 0.138 0.638 0.500
```


[2]
A plane-wave DFT calculation with PBE was carried out for a geometry-optimized BaCaZn3 structure.

Output
Total energy ... -1.3090 eV per atom
M_tot ... 0.00 Bohr magnetons per cell
Crystal system ... cubic
Density of states at the Fermi level ... 5.05 states/eV/cell

```
data_BaCaZn3
_space_group_name_H-M_alt 'P m -3 m'
_space_group_IT_number 221
_space_group_name_Hall '-P 4 2 3'
_cell_length_a 5.582
_cell_length_b 5.582
_cell_length_c 5.582
_cell_angle_alpha 90.00
_cell_angle_beta 90.00
_cell_angle_gamma 90.00
loop_
_atom_site_label
_atom_site_type_symbol
_atom_site_fract_x
_atom_site_fract_y
_atom_site_fract_z
Ba1 Ba 0.000 0.000 0.000
Ca1 Ca 0.500 0.500 0.500
Zn1 Zn 0.000 0.500 0.500
```


[3]
A plane-wave DFT calculation with PBE was carried out for a geometry-optimized BaCa3Zn3 structure.

Output
Total energy ... -1.8137 eV per atom
M_tot ... 0.00 Bohr magnetons per cell
Crystal system ... trigonal
Density of states at the Fermi level ... 37.15 states/eV/cell

```
data_BaCa3Zn3
_space_group_name_H-M_alt 'R -3 m'
_space_group_IT_number 166
_space_group_name_Hall '-R 3 2"'
_cell_length_a 7.8376
_cell_length_b 7.8376
_cell_length_c 24.7096
_cell_angle_alpha 90.00
_cell_angle_beta 90.00
_cell_angle_gamma 120.00
loop_
_atom_site_label
_atom_site_type_symbol
_atom_site_fract_x
_atom_site_fract_y
_atom_site_fract_z
Ba1 Ba 0.0000 0.0000 0.0783
Ca1 Ca 0.0011 0.5006 0.8990
Zn1 Zn 0.1011 0.5505 0.3327
```


[4]
A plane-wave DFT calculation with PBE was carried out for a geometry-optimized Ba4CaZn structure.

Output
Total energy ... -1.4153 eV per atom
M_tot ... 0.01 Bohr magnetons per cell
Crystal system ... cubic
Density of states at the Fermi level ... 52.60 states/eV/cell

```
data_Ba4CaZn
_space_group_name_H-M_alt 'F -4 3 m'
_space_group_IT_number 216
_space_group_name_Hall 'F -4 2 3'
_cell_length_a 10.927
_cell_length_b 10.927
_cell_length_c 10.927
_cell_angle_alpha 90.00
_cell_angle_beta 90.00
_cell_angle_gamma 90.00
loop_
_atom_site_label
_atom_site_type_symbol
_atom_site_fract_x
_atom_site_fract_y
_atom_site_fract_z
Ba1 Ba 0.125 0.125 0.125
Ca1 Ca 0.250 0.250 0.750
Zn1 Zn 0.000 0.000 0.500
```


[5]
A plane-wave DFT calculation with PBE was carried out for a geometry-optimized BaCaZn structure.

Output
Total energy ... -1.8569 eV per atom
M_tot ... 0.00 Bohr magnetons per cell
Crystal system ... tetragonal
Density of states at the Fermi level ... 8.18 states/eV/cell

```
data_BaCaZn
_space_group_name_H-M_alt 'I 4 m m'
_space_group_IT_number 107
_space_group_name_Hall 'I 4 -2'
_cell_length_a 3.956
_cell_length_b 3.956
_cell_length_c 13.975
_cell_angle_alpha 90.00
_cell_angle_beta 90.00
_cell_angle_gamma 90.00
loop_
_atom_site_label
_atom_site_type_symbol
_atom_site_fract_x
_atom_site_fract_y
_atom_site_fract_z
Ba1 Ba 0.000 0.000 0.000
Ca1 Ca 0.000 0.000 0.735
Zn1 Zn 0.000 0.000 0.347
```


[6]
A plane-wave DFT calculation with PBE was carried out for a geometry-optimized BaCaZn2 structure.

Output
Total energy ... -1.7596 eV per atom
M_tot ... 0.00 Bohr magnetons per cell
Crystal system ... tetragonal
Density of states at the Fermi level ... 3.39 states/eV/cell

```
data_BaCaZn2
_space_group_name_H-M_alt 'P 4/m m m'
_space_group_IT_number 123
_space_group_name_Hall '-P 4 2'
_cell_length_a 5.597
_cell_length_b 5.597
_cell_length_c 3.795
_cell_angle_alpha 90.00
_cell_angle_beta 90.00
_cell_angle_gamma 90.00
loop_
_atom_site_label
_atom_site_type_symbol
_atom_site_fract_x
_atom_site_fract_y
_atom_site_fract_z
Ba1 Ba 0.000 0.000 0.000
Ca1 Ca 0.500 0.500 0.000
Zn1 Zn 0.000 0.500 0.500
```


[7]
A plane-wave DFT calculation with PBE was carried out for a geometry-optimized BaCaZn3 structure.

Output
Total energy ... -0.9624 eV per atom
M_tot ... 0.00 Bohr magnetons per cell
Crystal system ... cubic
Density of states at the Fermi level ... 3.90 states/eV/cell

```
data_BaCaZn3
_space_group_name_H-M_alt 'P m -3 m'
_space_group_IT_number 221
_space_group_name_Hall '-P 4 2 3'
_cell_length_a 5.823
_cell_length_b 5.823
_cell_length_c 5.823
_cell_angle_alpha 90.00
_cell_angle_beta 90.00
_cell_angle_gamma 90.00
loop_
_atom_site_label
_atom_site_type_symbol
_atom_site_fract_x
_atom_site_fract_y
_atom_site_fract_z
Ba1 Ba 0.000 0.000 0.000
Ca1 Ca 0.500 0.500 0.500
Zn1 Zn 0.000 0.000 0.500
```


[8]
A plane-wave DFT calculation with PBE was carried out for a geometry-optimized BaCaZn2 structure.

Output
Total energy ... -1.7867 eV per atom
M_tot ... 0.00 Bohr magnetons per cell
Crystal system ... cubic
Density of states at the Fermi level ... 12.88 states/eV/cell

```
data_BaCaZn2
_space_group_name_H-M_alt 'F m -3 m'
_space_group_IT_number 225
_space_group_name_Hall '-F 4 2 3'
_cell_length_a 7.824
_cell_length_b 7.824
_cell_length_c 7.824
_cell_angle_alpha 90.00
_cell_angle_beta 90.00
_cell_angle_gamma 90.00
loop_
_atom_site_label
_atom_site_type_symbol
_atom_site_fract_x
_atom_site_fract_y
_atom_site_fract_z
Ba1 Ba 0.000 0.000 0.000
Ca1 Ca 0.000 0.000 0.500
Zn1 Zn 0.250 0.250 0.250
```


[9]
A plane-wave DFT calculation with PBE was carried out for a geometry-optimized BaCa2Zn6 structure.

Output
Total energy ... -1.7295 eV per atom
M_tot ... 0.00 Bohr magnetons per cell
Crystal system ... hexagonal
Density of states at the Fermi level ... 5.52 states/eV/cell

```
data_BaCa2Zn6
_space_group_name_H-M_alt 'P 6/m m m'
_space_group_IT_number 191
_space_group_name_Hall '-P 6 2'
_cell_length_a 7.9689
_cell_length_b 7.9689
_cell_length_c 3.9703
_cell_angle_alpha 90.00
_cell_angle_beta 90.00
_cell_angle_gamma 120.00
loop_
_atom_site_label
_atom_site_type_symbol
_atom_site_fract_x
_atom_site_fract_y
_atom_site_fract_z
Ba1 Ba 0.0000 0.0000 0.0000
Ca1 Ca 0.3333 0.6667 0.0000
Zn1 Zn 0.0000 0.3415 0.5000
```


[10]
A plane-wave DFT calculation with PBE was carried out for a geometry-optimized Ba2CaZn6 structure.

Output
Total energy ... -1.6968 eV per atom
M_tot ... 0.00 Bohr magnetons per cell
Crystal system ... hexagonal
Density of states at the Fermi level ... 5.45 states/eV/cell

```
data_Ba2CaZn6
_space_group_name_H-M_alt 'P 6/m m m'
_space_group_IT_number 191
_space_group_name_Hall '-P 6 2'
_cell_length_a 8.1082
_cell_length_b 8.1082
_cell_length_c 4.2147
_cell_angle_alpha 90.00
_cell_angle_beta 90.00
_cell_angle_gamma 120.00
loop_
_atom_site_label
_atom_site_type_symbol
_atom_site_fract_x
_atom_site_fract_y
_atom_site_fract_z
Ba1 Ba 0.3333 0.6667 0.0000
Ca1 Ca 0.0000 0.0000 0.0000
Zn1 Zn 0.0000 0.3216 0.5000
```


[11]
A plane-wave DFT calculation with PBE was carried out for a geometry-optimized Ba2CaZn2 structure.

Output
Total energy ... -1.6783 eV per atom
M_tot ... 0.00 Bohr magnetons per cell
Crystal system ... tetragonal
Density of states at the Fermi level ... 12.71 states/eV/cell

```
data_Ba2CaZn2
_space_group_name_H-M_alt 'P 4/m b m'
_space_group_IT_number 127
_space_group_name_Hall '-P 4 2ab'
_cell_length_a 9.634
_cell_length_b 9.634
_cell_length_c 3.834
_cell_angle_alpha 90.00
_cell_angle_beta 90.00
_cell_angle_gamma 90.00
loop_
_atom_site_label
_atom_site_type_symbol
_atom_site_fract_x
_atom_site_fract_y
_atom_site_fract_z
Ba1 Ba 0.138 0.362 0.000
Ca1 Ca 0.000 0.000 0.000
Zn1 Zn 0.157 0.657 0.500
```


[12]
A plane-wave DFT calculation with PBE was carried out for a geometry-optimized BaCaZn2 structure.

Output
Total energy ... -1.5903 eV per atom
M_tot ... 0.00 Bohr magnetons per cell
Crystal system ... cubic
Density of states at the Fermi level ... 4.33 states/eV/cell

```
data_BaCaZn2
_space_group_name_H-M_alt 'F -4 3 m'
_space_group_IT_number 216
_space_group_name_Hall 'F -4 2 3'
_cell_length_a 7.534
_cell_length_b 7.534
_cell_length_c 7.534
_cell_angle_alpha 90.00
_cell_angle_beta 90.00
_cell_angle_gamma 90.00
loop_
_atom_site_label
_atom_site_type_symbol
_atom_site_fract_x
_atom_site_fract_y
_atom_site_fract_z
Ba1 Ba 0.000 0.000 0.000
Ca1 Ca 0.250 0.250 0.750
Zn1 Zn 0.000 0.000 0.500
Zn2 Zn 0.250 0.250 0.250
```


[13]
A plane-wave DFT calculation with PBE was carried out for a geometry-optimized Ba3CaZn3 structure.

Output
Total energy ... -1.7764 eV per atom
M_tot ... 0.00 Bohr magnetons per cell
Crystal system ... orthorhombic
Density of states at the Fermi level ... 27.11 states/eV/cell

```
data_Ba3CaZn3
_space_group_name_H-M_alt 'C m c m'
_space_group_IT_number 63
_space_group_name_Hall '-C 2c 2'
_cell_length_a 4.462
_cell_length_b 12.521
_cell_length_c 18.647
_cell_angle_alpha 90.00
_cell_angle_beta 90.00
_cell_angle_gamma 90.00
loop_
_atom_site_label
_atom_site_type_symbol
_atom_site_fract_x
_atom_site_fract_y
_atom_site_fract_z
Ba1 Ba 0.000 0.000 0.250
Ba2 Ba 0.000 0.279 0.110
Ca1 Ca 0.000 0.000 0.000
Zn1 Zn 0.000 0.294 0.750
Zn2 Zn 0.000 0.425 0.612
```


[14]
A plane-wave DFT calculation with PBE was carried out for a geometry-optimized BaCaZn2 structure.

Output
Total energy ... -1.8026 eV per atom
M_tot ... 0.00 Bohr magnetons per cell
Crystal system ... orthorhombic
Density of states at the Fermi level ... 2.55 states/eV/cell

```
data_BaCaZn2
_space_group_name_H-M_alt 'P m m m'
_space_group_IT_number 47
_cell_length_a 3.858
_cell_length_b 3.969
_cell_length_c 7.692
_cell_angle_alpha 90.00
_cell_angle_beta 90.00
_cell_angle_gamma 90.00
loop_
_space_group_symop_operation_xyz
'x,y,z'
'-x,-y,-z'
'-x,-y,z'
'x,y,-z'
'x,-y,-z'
'-x,y,z'
'-x,y,-z'
'x,-y,z'
loop_
_atom_site_label
_atom_site_type_symbol
_atom_site_fract_x
_atom_site_fract_y
_atom_site_fract_z
Ba1 Ba 0.000 0.000 0.000
Ca1 Ca 0.000 0.000 0.500
Zn1 Zn 0.500 0.500 0.295
```


[15]
A plane-wave DFT calculation with PBE was carried out for a geometry-optimized Ba2Ca2Zn structure.

Output
Total energy ... -1.7498 eV per atom
M_tot ... 0.00 Bohr magnetons per cell
Crystal system ... tetragonal
Density of states at the Fermi level ... 5.04 states/eV/cell

```
data_Ba2Ca2Zn
_space_group_name_H-M_alt 'P 4/m b m'
_space_group_IT_number 127
_space_group_name_Hall '-P 4 2ab'
_cell_length_a 8.199
_cell_length_b 8.199
_cell_length_c 6.593
_cell_angle_alpha 90.00
_cell_angle_beta 90.00
_cell_angle_gamma 90.00
loop_
_atom_site_label
_atom_site_type_symbol
_atom_site_fract_x
_atom_site_fract_y
_atom_site_fract_z
Ba1 Ba 0.177 0.323 0.000
Ca1 Ca 0.158 0.658 0.500
Zn1 Zn 0.000 0.000 0.500
```


[16]
A plane-wave DFT calculation with PBE was carried out for a geometry-optimized Ba4CaZn structure.

Output
Total energy ... -1.8658 eV per atom
M_tot ... 0.00 Bohr magnetons per cell
Crystal system ... tetragonal
Density of states at the Fermi level ... 8.73 states/eV/cell

```
data_Ba4CaZn
_space_group_name_H-M_alt 'P 4/m m m'
_space_group_IT_number 123
_space_group_name_Hall '-P 4 2'
_cell_length_a 4.231
_cell_length_b 4.231
_cell_length_c 16.810
_cell_angle_alpha 90.00
_cell_angle_beta 90.00
_cell_angle_gamma 90.00
loop_
_atom_site_label
_atom_site_type_symbol
_atom_site_fract_x
_atom_site_fract_y
_atom_site_fract_z
Ba1 Ba 0.000 0.000 0.114
Ba2 Ba 0.500 0.500 0.324
Ca1 Ca 0.000 0.000 0.500
Zn1 Zn 0.500 0.500 0.000
```


[17]
A plane-wave DFT calculation with PBE was carried out for a geometry-optimized BaCa2Zn2 structure.

Output
Total energy ... -1.8324 eV per atom
M_tot ... 0.00 Bohr magnetons per cell
Crystal system ... tetragonal
Density of states at the Fermi level ... 5.72 states/eV/cell

```
data_BaCa2Zn2
_space_group_name_H-M_alt 'P 4/m b m'
_space_group_IT_number 127
_space_group_name_Hall '-P 4 2ab'
_cell_length_a 8.377
_cell_length_b 8.377
_cell_length_c 4.611
_cell_angle_alpha 90.00
_cell_angle_beta 90.00
_cell_angle_gamma 90.00
loop_
_atom_site_label
_atom_site_type_symbol
_atom_site_fract_x
_atom_site_fract_y
_atom_site_fract_z
Ba1 Ba 0.000 0.000 0.000
Ca1 Ca 0.163 0.337 0.500
Zn1 Zn 0.112 0.612 0.000
```


[18]
A plane-wave DFT calculation with PBE was carried out for a geometry-optimized BaCa3Zn structure.

Output
Total energy ... -1.8860 eV per atom
M_tot ... 0.00 Bohr magnetons per cell
Crystal system ... monoclinic
Density of states at the Fermi level ... 13.03 states/eV/cell

```
data_BaCa3Zn
_space_group_name_H-M_alt 'P 1 21/m 1'
_space_group_IT_number 11
_cell_length_a 9.995
_cell_length_b 4.129
_cell_length_c 10.511
_cell_angle_alpha 90.00
_cell_angle_beta 110.61
_cell_angle_gamma 90.00
loop_
_space_group_symop_operation_xyz
'x,y,z'
'-x,-y,-z'
'-x,y+1/2,-z'
'x,-y+1/2,z'
loop_
_atom_site_label
_atom_site_type_symbol
_atom_site_fract_x
_atom_site_fract_y
_atom_site_fract_z
Ba1 Ba 0.155 0.250 0.430
Ca1 Ca 0.160 0.750 0.104
Ca2 Ca 0.221 0.250 0.829
Ca3 Ca 0.499 0.250 0.280
Zn1 Zn 0.436 0.750 0.030
```


[19]
A plane-wave DFT calculation with PBE was carried out for a geometry-optimized BaCa2Zn2 structure.

Output
Total energy ... -1.7971 eV per atom
M_tot ... 0.00 Bohr magnetons per cell
Crystal system ... tetragonal
Density of states at the Fermi level ... 6.35 states/eV/cell

```
data_BaCa2Zn2
_space_group_name_H-M_alt 'P 4/m b m'
_space_group_IT_number 127
_space_group_name_Hall '-P 4 2ab'
_cell_length_a 9.131
_cell_length_b 9.131
_cell_length_c 3.598
_cell_angle_alpha 90.00
_cell_angle_beta 90.00
_cell_angle_gamma 90.00
loop_
_atom_site_label
_atom_site_type_symbol
_atom_site_fract_x
_atom_site_fract_y
_atom_site_fract_z
Ba1 Ba 0.000 0.000 0.000
Ca1 Ca 0.131 0.369 0.000
Zn1 Zn 0.162 0.662 0.500
```


[20]
A plane-wave DFT calculation with PBE was carried out for a geometry-optimized BaCaZr structure.

Output
Total energy ... -3.7010 eV per atom
M_tot ... 0.00 Bohr magnetons per cell
Crystal system ... tetragonal
Density of states at the Fermi level ... 9.22 states/eV/cell

```
data_BaCaZr
_space_group_name_H-M_alt 'I 4 m m'
_space_group_IT_number 107
_space_group_name_Hall 'I 4 -2'
_cell_length_a 3.634
_cell_length_b 3.634
_cell_length_c 16.713
_cell_angle_alpha 90.00
_cell_angle_beta 90.00
_cell_angle_gamma 90.00
loop_
_atom_site_label
_atom_site_type_symbol
_atom_site_fract_x
_atom_site_fract_y
_atom_site_fract_z
Ba1 Ba 0.000 0.000 0.000
Ca1 Ca 0.000 0.000 0.297
Zr1 Zr 0.000 0.000 0.657
```